First-principles (GGA-PBE) data for a relaxed DyHoZnCr crystal, as listed in the Alexandria database.

```
DyHoZnCr
1.0
0.000 3.557 3.557
3.557 0.000 3.557
3.557 3.557 0.000
Dy Ho Zn Cr
1 1 1 1
Direct
0.000 0.000 0.000
0.500 0.500 0.500
0.750 0.750 0.750
0.250 0.250 0.250
```

Results
Its space group is F-43m. The energy of formation from the pure elements comes out at 5.4 meV per atom. The volume comes out at 22.500 Å³/atom. For the density of states at the Fermi level, the calculation gives 0.3919 states/eV/atom.